[1]
Below is a geometry-optimized CrCuP2Ir structure, with properties calculated at the PBE-GGA level.

a = 4.2702 Å, b = 4.2702 Å, c = 4.6808 Å
α = 90.00°, β = 90.00°, γ = 90.00°
Atoms (fractional coordinates):
Cr: 0.0000 0.0000 0.0000
Cu: 0.5000 0.5000 0.5000
P: 0.0000 0.5000 0.0000
P: 0.5000 0.0000 0.0000
Ir: 0.0000 0.0000 0.5000

Results
The calculation puts the formation energy at 0.848 eV per atom.



[2]
Below is a geometry-optimized RbCr2CuIr structure, with properties calculated at the PBE-GGA level.

a = 4.7935 Å, b = 4.7935 Å, c = 6.2692 Å
α = 90.00°, β = 90.00°, γ = 90.00°
Atoms (fractional coordinates):
Rb: 0.0000 0.0000 0.0000
Cr: 0.0000 0.5000 0.5000
Cr: 0.5000 0.0000 0.5000
Cu: 0.5000 0.5000 0.0000
Ir: 0.0000 0.0000 0.5000

Results
The calculation puts the formation energy at 1.322 eV per atom.



[3]
Below is a geometry-optimized CrCu2IrRh structure, with properties calculated at the PBE-GGA level.

a = 4.5971 Å, b = 4.5971 Å, c = 4.6595 Å
α = 90.00°, β = 90.00°, γ = 90.00°
Atoms (fractional coordinates):
Cr: 0.0000 0.0000 0.0000
Cu: 0.0000 0.5000 0.5000
Cu: 0.5000 0.0000 0.5000
Ir: 0.5000 0.5000 0.0000
Rh: 0.5000 0.5000 0.5000

Results
The calculation puts the formation energy at 1.308 eV per atom.



[4]
Below is a geometry-optimized CrCuSiIr structure, with properties calculated at the PBE-GGA level.

a = 4.1763 Å, b = 4.1763 Å, c = 4.1763 Å
α = 60.00°, β = 60.00°, γ = 60.00°
Atoms (fractional coordinates):
Cr: 0.0000 0.0000 0.0000
Cu: 0.2500 0.2500 0.2500
Si: 0.7500 0.7500 0.7500
Ir: 0.5000 0.5000 0.5000

Results
The calculation puts the raw total energy at -7.21 eV per atom.



Repeat the third record exactly.
Below is a geometry-optimized CrCu2IrRh structure, with properties calculated at the PBE-GGA level.

a = 4.5971 Å, b = 4.5971 Å, c = 4.6595 Å
α = 90.00°, β = 90.00°, γ = 90.00°
Atoms (fractional coordinates):
Cr: 0.0000 0.0000 0.0000
Cu: 0.0000 0.5000 0.5000
Cu: 0.5000 0.0000 0.5000
Ir: 0.5000 0.5000 0.0000
Rh: 0.5000 0.5000 0.5000

Results
The calculation puts the formation energy at 1.308 eV per atom.